(1)
Density functional theory data (PBE) for a relaxed structure of Tm2Sc6N.

Summary:
E_tot   -6.512 eV/atom
ΔE_f (raw)   -3.4 eV/f.u.

extended XYZ file:
```
18
Lattice="5.762 0.201 -0.129 -0.274 8.530 -1.042 0.267 -0.795 8.557" Properties=species:S:1:pos:R:3 pbc="T T T"
Sc 5.379 6.500 7.080
Sc 2.448 1.163 4.589
Sc 5.405 0.164 5.829
Sc 0.375 1.437 0.305
Sc 3.307 6.774 2.796
Sc 0.634 3.083 6.557
Sc 3.318 0.470 1.339
Sc 5.120 4.853 0.829
Sc 3.577 1.911 7.629
Sc 0.350 7.772 1.556
Sc 2.436 7.467 6.047
Sc 2.178 6.026 -0.243
Tm 2.330 3.602 2.106
Tm 3.425 4.335 5.280
Tm 5.284 2.443 3.337
Tm 0.471 5.493 4.048
N 4.556 -0.078 7.877
N 1.199 8.015 -0.492
```

=====

(2)
Density functional theory data (PBE) for a relaxed structure of AcTb5Nd2Er.

Summary:
E_tot   -4.335 eV/atom
Energy of formation from the pure elements   0.260 eV/atom

extended XYZ file:
```
18
Lattice="8.875 0.000 0.000 0.000 8.875 0.000 -4.438 -4.438 7.831" Properties=species:S:1:pos:R:3 pbc="T T T"
Tb 7.043 2.606 2.090
Tb 4.438 4.438 0.000
Tb 1.832 6.270 2.090
Tb -2.606 1.832 5.741
Tb -1.832 -2.606 5.741
Tb 2.606 -1.832 5.741
Tb 1.832 2.606 5.741
Tb 6.270 7.043 2.090
Tb 0.000 0.000 0.000
Tb 2.606 1.832 2.090
Ac 4.438 4.438 3.916
Ac 0.000 0.000 3.916
Er 0.000 4.438 3.916
Er 4.438 0.000 3.916
Nd 5.476 1.038 0.000
Nd 3.399 7.837 0.000
Nd 7.837 5.476 0.000
Nd 1.038 3.399 0.000
```